[1]
Entry from Alexandria via LeMat-Bulk: an optimized crystal structure of Li2DyThS4 (PBE).

* raw formation energy: -1728 meV/atom

CIF file:
```
data_Li2DyThS4
_symmetry_space_group_name_H-M 'P 1 2/m 1'
_symmetry_Int_Tables_number 10
_cell_length_a 6.6424
_cell_length_b 3.9247
_cell_length_c 6.8265
_cell_angle_alpha 90.00
_cell_angle_beta 109.89
_cell_angle_gamma 90.00
loop_
_symmetry_equiv_pos_as_xyz
'x,y,z'
'-x,-y,-z'
'-x,y,-z'
'x,-y,z'
loop_
_atom_site_label
_atom_site_fract_x
_atom_site_fract_y
_atom_site_fract_z
Li1 0.0000 0.0000 0.0000
Li2 0.0000 0.5000 0.5000
Dy1 0.5000 0.0000 0.5000
Th1 0.5000 0.5000 0.0000
S1 0.2363 0.0000 0.7387
S2 0.2441 0.5000 0.2522
```

***

[2]
Entry from Alexandria via LeMat-Bulk: an optimized crystal structure of Sr2InMo (PBE).

* formation energy from the elements: 1.9 eV per formula unit

CIF file:
```
data_Sr2InMo
_symmetry_space_group_name_H-M 'C 1 m 1'
_symmetry_Int_Tables_number 8
_cell_length_a 12.3477
_cell_length_b 4.1124
_cell_length_c 5.4521
_cell_angle_alpha 90.00
_cell_angle_beta 116.14
_cell_angle_gamma 90.00
loop_
_symmetry_equiv_pos_as_xyz
'x,y,z'
'x,-y,z'
'x+1/2,y+1/2,z'
'x+1/2,-y+1/2,z'
loop_
_atom_site_label
_atom_site_fract_x
_atom_site_fract_y
_atom_site_fract_z
Sr1 0.0000 0.0000 0.0000
Sr2 0.2112 0.0000 0.7109
In1 0.2692 0.5000 0.2688
Mo1 0.4364 0.0000 0.4365
```